DFT (GGA-PBE) results for crystalline Ni3Ag at its relaxed geometry.

Calculated values
size of the total moment	0.4213	μB per atom
energy relative to the elements	0.24	eV/atom
calculated total energy	-4.804	eV/atom

Cell lengths 4.2451, 4.5926, 5.1988 Å; angles 90.00, 90.00, 90.00 degrees
Positions (direct):
Ni 0.5000 0.6953 0.0000
Ni 0.0000 0.8502 0.7492
Ni 0.5000 0.1498 0.7508
Ni 0.5000 0.1498 0.2492
Ni 0.0000 0.8502 0.2508
Ni 0.0000 0.3047 0.5000
Ag 0.5000 0.6477 0.5000
Ag 0.0000 0.3523 0.0000


DFT (GGA-PBE) results for crystalline NiAg at its relaxed geometry.

Calculated values
size of the total moment	0.2455	μB per atom
energy relative to the elements	0.42	eV/atom
calculated total energy	-3.898	eV/atom

Cell lengths 7.7393, 13.6996, 4.7042 Å; angles 90.00, 90.00, 90.00 degrees
Positions (direct):
Ag 0.1692 0.5000 0.0000
Ag 0.4192 0.2500 0.2500
Ag 0.6692 0.5000 0.5000
Ag 0.9192 0.7500 0.2500
Ag 0.8308 0.0000 0.5000
Ag 0.0808 0.2500 0.2500
Ag 0.1692 0.0000 0.5000
Ag 0.8308 0.5000 0.0000
Ag 0.5808 0.7500 0.2500
Ag 0.6692 0.0000 0.0000
Ag 0.3308 0.0000 0.0000
Ag 0.3308 0.5000 0.5000
Ag 0.0808 0.7500 0.7500
Ag 0.5808 0.2500 0.7500
Ag 0.4192 0.7500 0.7500
Ag 0.9192 0.2500 0.7500
Ni 0.7500 0.3337 0.2500
Ni 0.7500 0.6663 0.7500
Ni 0.5000 0.0837 0.5000
Ni 0.0000 0.4163 0.5000
Ni 0.0000 0.9163 0.0000
Ni 0.0000 0.5837 0.5000
Ni 0.0000 0.0837 0.0000
Ni 0.2500 0.1663 0.7500
Ni 0.2500 0.8337 0.2500
Ni 0.7500 0.1663 0.2500
Ni 0.2500 0.6663 0.2500
Ni 0.2500 0.3337 0.7500
Ni 0.5000 0.5837 0.0000
Ni 0.7500 0.8337 0.7500
Ni 0.5000 0.9163 0.5000
Ni 0.5000 0.4163 0.0000


DFT (GGA-PBE) results for crystalline Ni3Ag at its relaxed geometry.

Calculated values
size of the total moment	0.4005	μB per atom
energy relative to the elements	0.20	eV/atom
calculated total energy	-4.847	eV/atom

Cell lengths 8.6275, 8.6275, 8.6275 Å; angles 17.53, 17.53, 17.53 degrees
Positions (direct):
Ni 0.5000 0.5000 0.5000
Ni 0.7572 0.7572 0.7572
Ni 0.2428 0.2428 0.2428
Ag 0.0000 0.0000 0.0000


DFT (GGA-PBE) results for crystalline NiAg2 at its relaxed geometry.

Calculated values
offset from the most stable computed form	55	meV/atom
size of the total moment	0.1087	μB per atom
energy relative to the elements	0.23	eV/atom
calculated total energy	-3.593	eV/atom

Cell lengths 5.0859, 5.0859, 5.0859 Å; angles 102.65, 102.65, 124.19 degrees
Positions (direct):
Ag 0.6580 0.1580 0.8161
Ag 0.8420 0.6580 0.5000
Ag 0.1580 0.3420 0.5000
Ag 0.3420 0.8420 0.1839
Ni 0.2500 0.2500 0.0000
Ni 0.7500 0.7500 0.0000